DFT (PBE) results for a relaxed CePm4Se6 crystal.

Summary:
- E_form (uncorrected) (eV per formula unit) = -20.39
- total magnetic moment (μB/cell) = 4.4

a b c (Å): 4.1324 13.7888 21.1804
angles (deg): 90.00 90.00 90.00
Closest atoms and distances in Å follow each position.
Space group Cmcm (No. 63)
Asymmetric unit:
Ce  0.0000  0.1565  0.2500 (multiplicity 4)  6 Se 2.97-3.07
Pm  0.0000  0.0894  0.6275 (multiplicity 8)  6 Se 2.93-2.97
Pm  0.0000  0.3591  0.5396 (multiplicity 8)  6 Se 2.93-3.04
Se  0.0000  0.0000  0.0000 (multiplicity 4)  6 Pm 2.96-2.97
Se  0.0000  0.1888  0.7500 (multiplicity 4)  2 Pm 2.93, 2 Ce 2.97
Se  0.0000  0.2689  0.0916 (multiplicity 8)  5 Pm 2.93-3.04
Se  0.0000  0.4490  0.6678 (multiplicity 8)  3 Pm 2.96-2.99, 2 Ce 3.07